A plane-wave DFT calculation with PBE-GGA was carried out for CuAg after structural relaxation.

Cell lengths 4.798, 4.798, 8.680 Å; angles 90.85, 90.85, 47.84 degrees
Fractional coordinates of all 10 atoms:
Cu  0.501  0.501  0.504
Ag  0.903  0.903  0.306
Ag  0.800  0.800  0.604
Cu  0.200  0.200  0.406
Ag  0.297  0.297  0.085
Cu  0.993  0.993  0.989
Cu  0.407  0.407  0.803
Cu  0.698  0.698  0.898
Ag  0.600  0.600  0.198
Ag  0.100  0.100  0.707

Values from the calculation:
Energy of formation in kJ per mole of atoms: 10
Density in g/cm³: 9.608
Symmetry: Cm, No. 8
Uncorrected energy in hartree per atom: -0.116

***

A plane-wave DFT calculation with PBE-GGA was carried out for CuAg after structural relaxation.

Cell lengths 4.811, 4.811, 11.597 Å; angles 99.18, 99.18, 33.82 degrees
Fractional coordinates of all 10 atoms:
Ag  0.082  0.082  0.230
Cu  0.623  0.623  0.670
Ag  0.918  0.918  0.770
Ag  0.208  0.208  0.883
Cu  0.310  0.310  0.581
Cu  0.690  0.690  0.419
Ag  0.792  0.792  0.117
Ag  0.500  0.500  0.000
Cu  0.377  0.377  0.330
Cu  0.000  0.000  0.500

Values from the calculation:
Energy of formation in kJ per mole of atoms: 6
Density in g/cm³: 9.663
Symmetry: C2/m, No. 12
Uncorrected energy in hartree per atom: -0.118